CsK3Rb2 GGA-PBE relaxed; space-group type = Cmcm, No. 63; Fermi-level density of states = 9.251 states/eV per cell; distance to the lowest polymorph of the same formula = 0.015 eV/atom; ρ = 1.34 g/cm³; DFT formation energy = 0.03 eV/atom
1.0
-2.791 8.052 -3.137
-9.832 -1.826 4.062
1.163 4.244 9.856
Cs K Rb
2 6 4
Direct
0.250 0.253 0.253
0.750 0.747 0.747
0.750 0.415 0.084
0.750 0.084 0.415
0.250 0.585 0.916
0.750 0.022 0.022
0.250 0.978 0.978
0.250 0.916 0.585
0.500 0.687 0.313
0.000 0.687 0.313
0.000 0.313 0.687
0.500 0.313 0.687

***

TlAuSe2 GGA-PBE relaxed; space-group type = Pmmm, No. 47; Fermi-level density of states = 3.271 states/eV per cell; raw formation energy = 0.19 eV per atom; ρ = 9.81 g/cm³
1.0
-2.923 0.269 -0.567
0.291 -2.746 -2.803
-1.582 -5.719 5.438
Au Se Tl
1 2 1
Direct
0.500 0.500 0.750
0.000 0.000 0.963
0.000 0.000 0.537
0.500 0.500 0.250

***

BaB2IrRh GGA-PBE relaxed; space-group type = I-4m2, No. 119; Fermi-level density of states = 0.842 states/eV per cell; ρ = 8.40 g/cm³; DFT formation energy = -0.49 eV/atom
1.0
3.945 0.000 0.000
0.000 3.945 0.000
-1.972 -1.972 5.765
Ba B Ir Rh
1 2 1 1
Direct
0.000 0.000 0.000
0.682 0.682 0.364
0.318 0.318 0.636
0.250 0.750 0.500
0.750 0.250 0.500

***

Li2HgPbBr6 GGA-PBE relaxed; space-group type = R3, No. 146; Fermi-level density of states = 0.000 states/eV per cell; raw formation energy = -0.98 eV per atom; ρ = 5.16 g/cm³
1.0
7.171 -0.001 0.001
3.585 6.209 0.001
3.586 2.070 6.517
Li Hg Pb Br
2 1 1 6
Direct
0.507 0.507 0.479
0.013 0.013 0.960
0.313 0.313 0.062
0.815 0.814 0.557
0.612 0.251 0.236
0.251 0.901 0.236
0.901 0.612 0.236
0.376 0.738 0.749
0.738 0.137 0.749
0.137 0.376 0.749

***

Number 1: magnetic moment 0.00 Bohr magnetons per cell. Number 2: magnetic moment 0.00 Bohr magnetons per cell. Number 3: magnetic moment 0.00 Bohr magnetons per cell. Number 4: magnetic moment 0.00 Bohr magnetons per cell.